[1]
First-principles (PBE) data for an optimized crystal structure of TbTmSi2Ni, as listed in the Open Quantum Materials Database.

Computed properties:
* calculated total energy: -5.923 eV per atom

Cell: 5.5077 5.5077 9.9713 Å, 115.85 115.85 44.51°
Positions (direct):
Tb: 0.1896 0.1896 0.1057
Tb: 0.8104 0.8104 0.8943
Tm: 0.0079 0.0079 0.3306
Tm: 0.9921 0.9921 0.6694
Si: 0.3533 0.3533 0.4380
Si: 0.4928 0.4928 0.1227
Si: 0.5072 0.5072 0.8773
Si: 0.6467 0.6467 0.5620
Ni: 0.2718 0.2718 0.6414
Ni: 0.7282 0.7282 0.3586


[2]
First-principles (PBE) data for an optimized crystal structure of TbTm2Si4Ni4, as listed in the Open Quantum Materials Database.

Computed properties:
* calculated total energy: -6.041 eV per atom

Cell: 7.6399 7.6399 7.6399 Å, 149.68 129.03 60.46°
Positions (direct):
Tb: 0.0000 0.0000 0.0000
Tm: 0.3716 0.8716 0.5000
Tm: 0.6284 0.1284 0.5000
Si: 0.2189 0.2189 0.0000
Si: 0.3137 0.5000 0.8137
Si: 0.6863 0.5000 0.1863
Si: 0.7811 0.7811 0.0000
Ni: 0.0192 0.3224 0.6968
Ni: 0.3744 0.6776 0.6968
Ni: 0.6256 0.3224 0.3032
Ni: 0.9808 0.6776 0.3032


[3]
First-principles (PBE) data for an optimized crystal structure of Tb2YSi4Ni4, as listed in the Open Quantum Materials Database.

Computed properties:
* calculated total energy: -6.200 eV per atom

Cell: 7.7245 7.7245 7.7245 Å, 149.57 129.67 59.96°
Positions (direct):
Tb: 0.1291 0.1291 0.0000
Tb: 0.8709 0.8709 0.0000
Y: 0.5000 0.0000 0.5000
Si: 0.1876 0.5000 0.6876
Si: 0.2828 0.7828 0.5000
Si: 0.7172 0.2172 0.5000
Si: 0.8124 0.5000 0.3124
Ni: 0.1263 0.3225 0.8038
Ni: 0.4813 0.6775 0.8038
Ni: 0.5187 0.3225 0.1962
Ni: 0.8737 0.6775 0.1962


[4]
First-principles (PBE) data for an optimized crystal structure of TbY2Si4Ni4, as listed in the Open Quantum Materials Database.

Computed properties:
* calculated total energy: -6.374 eV per atom

Cell: 7.7049 7.7049 7.7049 Å, 149.58 129.40 60.20°
Positions (direct):
Tb: 0.0000 0.0000 0.0000
Y: 0.3716 0.8716 0.5000
Y: 0.6284 0.1284 0.5000
Si: 0.2181 0.2181 0.0000
Si: 0.3123 0.5000 0.8123
Si: 0.6877 0.5000 0.1877
Si: 0.7819 0.7819 0.0000
Ni: 0.0184 0.3229 0.6955
Ni: 0.3726 0.6771 0.6955
Ni: 0.6274 0.3229 0.3045
Ni: 0.9816 0.6771 0.3045